Here is Sc4V2O9 after structural relaxation from Alexandria via LeMat-Bulk. Energies are from PBE with a Hubbard U.

extended XYZ file:
```
30
Lattice="4.5886 -2.6478 0.0000 4.5886 2.6478 0.0000 -0.0102 0.0000 14.2836" Properties=species:S:1:pos:R:3 pbc="T T T"
Sc 1.5230 0.0022 11.6224
Sc 1.5281 -0.0022 4.4806
Sc 1.5293 -0.0007 0.3578
Sc 1.5242 0.0007 7.4997
Sc 7.6429 -0.0007 6.7840
Sc 7.6378 0.0007 13.9258
Sc 7.6390 0.0022 9.8031
Sc 7.6441 -0.0022 2.6613
V 4.5792 0.0028 12.1618
V 4.5843 -0.0028 5.0200
V 4.5828 0.0028 9.2636
V 4.5879 -0.0028 2.1218
O 3.0972 1.0392 1.1976
O 4.4284 1.8093 8.3423
O 2.9392 0.7710 5.9437
O 4.7335 1.8093 13.0831
O 3.2357 0.7798 10.7126
O 4.5861 1.5469 3.5709
O 2.9341 -0.7710 13.0856
O 6.0749 1.0392 5.9442
O 5.9262 0.7798 10.7129
O 3.2408 -0.7798 3.5708
O 3.0921 -1.0392 8.3394
O 6.2329 0.7710 1.1981
O 4.5810 -1.5469 10.7127
O 5.9313 -0.7798 3.5710
O 4.4335 -1.8093 1.2005
O 6.2278 -0.7710 8.3399
O 4.7386 -1.8093 5.9413
O 6.0698 -1.0392 13.0860
```

## Properties
space-group type	C2/c, No. 15
crystal system	monoclinic
final energy	-8.672	eV per atom